## NaInAg2F8 (PBE)

Data for a relaxed structure of NaInAg2F8.

Cell: 6.6645 6.6645 6.6645 Å, 132.21 132.21 69.90°
Closest atoms and distances in Å follow each position.
Atoms (fractional coordinates):
Na: 0.0000 0.0000 0.0000  8 F 2.41
In: 0.7500 0.2500 0.5000  8 F 2.24
Ag: 0.2500 0.7500 0.5000  8 F 2.37
Ag: 0.5000 0.5000 0.0000  8 F 2.37
F: 0.1112 0.1309 0.5055  1 In 2.24, 2 Ag 2.37, 1 Na 2.41
F: 0.1112 0.6058 0.9803  1 In 2.24, 2 Ag 2.37, 1 Na 2.41
F: 0.3942 0.3745 0.5055  1 In 2.24, 2 Ag 2.37, 1 Na 2.41
F: 0.3942 0.8888 0.0197  1 In 2.24, 2 Ag 2.37, 1 Na 2.41
F: 0.6255 0.1309 0.0197  1 In 2.24, 2 Ag 2.37, 1 Na 2.41
F: 0.6255 0.6058 0.4945  1 In 2.24, 2 Ag 2.37, 1 Na 2.41
F: 0.8691 0.3745 0.9803  1 In 2.24, 2 Ag 2.37, 1 Na 2.41
F: 0.8691 0.8888 0.4945  1 In 2.24, 2 Ag 2.37, 1 Na 2.41

Output
total magnetization	0.17	μB per atom
uncorrected formation energy	-1.78	eV/atom